First-principles (PBE) data for an optimized crystal structure of Y6Sb5H, as listed in Alexandria via LeMat-Bulk.

Geometry as POSCAR:
```
Y6Sb5H
1.0
7.504 0.199 0.000
2.303 7.129 0.000
1.152 3.564 6.465
Y Sb H
6 5 1
Direct
0.751 0.083 0.334
0.249 0.583 0.334
0.256 0.251 0.000
0.744 0.749 0.000
0.751 0.417 0.666
0.249 0.917 0.666
0.500 0.168 0.664
0.000 0.334 0.332
0.500 0.500 0.000
0.000 0.666 0.668
0.500 0.832 0.336
0.000 0.000 0.000
```

## Properties
Density of states at the Fermi level = 4.15 states/eV/cell
SG = No. 12
Total magnetic moment = 0.00 μB per formula unit
Total DFT energy (no corrections) = -73.99 eV for the cell shown

First-principles (PBE) data for an optimized crystal structure of YSbH2, as listed in Alexandria via LeMat-Bulk.

Geometry as POSCAR:
```
YSbH2
1.0
0.000 3.105 3.105
3.105 0.000 3.105
3.105 3.105 0.000
Y Sb H
1 1 2
Direct
0.000 0.000 0.000
0.500 0.500 0.500
0.250 0.250 0.250
0.750 0.750 0.750
```

## Properties
Density of states at the Fermi level = 0.39 states/eV/cell
SG = No. 225
Total magnetic moment = 0.00 μB per formula unit
Excess energy over the best structure of this formula in the dataset = 0.502 eV/atom

First-principles (PBE) data for an optimized crystal structure of Y3Sb2H2, as listed in Alexandria via LeMat-Bulk.

Geometry as POSCAR:
```
Y3Sb2H2
1.0
-3.125 -2.042 7.366
0.061 -6.868 -1.877
3.806 -1.275 4.787
Y Sb H
6 4 4
Direct
0.500 0.500 0.000
0.000 0.000 0.000
0.721 0.060 0.644
0.779 0.560 0.356
0.221 0.440 0.644
0.279 0.940 0.356
0.886 0.699 0.769
0.386 0.801 0.769
0.614 0.199 0.231
0.114 0.301 0.231
0.662 0.358 0.655
0.838 0.858 0.345
0.162 0.142 0.655
0.338 0.642 0.345
```

## Properties
Density of states at the Fermi level = 6.65 states/eV/cell
SG = No. 14
Total magnetic moment = 0.00 μB per formula unit
Total DFT energy (no corrections) = -79.87 eV for the cell shown

First-principles (PBE) data for an optimized crystal structure of Y4Sb2H, as listed in Alexandria via LeMat-Bulk.

Geometry as POSCAR:
```
Y4Sb2H
1.0
-1.863 -2.136 -3.465
3.659 0.790 -2.455
4.268 -7.959 -0.280
Y Sb H
4 2 1
Direct
0.822 0.822 0.357
0.178 0.178 0.643
0.000 0.500 0.000
0.500 0.000 0.000
0.637 0.637 0.725
0.363 0.363 0.275
0.000 0.000 0.000
```

## Properties
Density of states at the Fermi level = 6.87 states/eV/cell
SG = No. 139
Total magnetic moment = 0.59 μB per formula unit
Excess energy over the best structure of this formula in the dataset = 0.000 eV/atom

First-principles (PBE) data for an optimized crystal structure of Y2SbH, as listed in Alexandria via LeMat-Bulk.

Geometry as POSCAR:
```
Y2SbH
1.0
7.110 0.000 0.000
0.000 7.110 0.000
3.555 3.555 3.506
Y Sb H
4 2 2
Direct
0.541 0.125 0.250
0.209 0.625 0.250
0.375 0.459 0.750
0.875 0.791 0.750
0.000 0.000 0.000
0.750 0.250 0.500
0.500 0.500 0.000
0.250 0.750 0.500
```

## Properties
Density of states at the Fermi level = 6.04 states/eV/cell
SG = No. 122
Total magnetic moment = 0.46 μB per formula unit
Excess energy over the best structure of this formula in the dataset = 0.028 eV/atom

First-principles (PBE) data for an optimized crystal structure of YSb2H, as listed in Alexandria via LeMat-Bulk.

Geometry as POSCAR:
```
YSb2H
1.0
0.000 3.631 3.631
3.631 0.000 3.631
3.631 3.631 0.000
Y Sb H
1 2 1
Direct
0.500 0.500 0.500
0.250 0.250 0.250
0.750 0.750 0.750
0.000 0.000 0.000
```

## Properties
Density of states at the Fermi level = 3.49 states/eV/cell
SG = No. 225
Total magnetic moment = 0.71 μB per formula unit
Excess energy over the best structure of this formula in the dataset = 0.420 eV/atom

Copy entry 2 word for word.
First-principles (PBE) data for an optimized crystal structure of YSbH2, as listed in Alexandria via LeMat-Bulk.

Geometry as POSCAR:
```
YSbH2
1.0
0.000 3.105 3.105
3.105 0.000 3.105
3.105 3.105 0.000
Y Sb H
1 1 2
Direct
0.000 0.000 0.000
0.500 0.500 0.500
0.250 0.250 0.250
0.750 0.750 0.750
```

## Properties
Density of states at the Fermi level = 0.39 states/eV/cell
SG = No. 225
Total magnetic moment = 0.00 μB per formula unit
Excess energy over the best structure of this formula in the dataset = 0.502 eV/atom

Question: total magnetic moment of number 6 (YSb2H)?
Answer: 0.71 μB per formula unit